No. 1
# WCl (PBE, optimized geometry)
# - crystal system = trigonal
# - E_form (uncorrected) (eV per formula unit) = 2.24
# - density (g cm⁻³) = 6.83
data_WCl
_symmetry_space_group_name_H-M 'R -3 m'
_symmetry_Int_Tables_number 166
_symmetry_space_group_name_Hall '-R 3 2"'
_cell_length_a 4.2957
_cell_length_b 4.2957
_cell_length_c 20.0095
_cell_angle_alpha 90.00
_cell_angle_beta 90.00
_cell_angle_gamma 120.00
loop_
_atom_site_label
_atom_site_type_symbol
_atom_site_fract_x
_atom_site_fract_y
_atom_site_fract_z
W1 W 0.0000 0.0000 0.1667
Cl1 Cl 0.0000 0.0000 0.4168

=====

No. 2
# LiLa2ZrV (PBE, optimized geometry)
# - crystal system = tetragonal
# - total energy (eV per atom) = -4.57
# - density (g cm⁻³) = 4.58
data_LiLa2ZrV
_symmetry_space_group_name_H-M 'P 4/m m m'
_symmetry_Int_Tables_number 123
_symmetry_space_group_name_Hall '-P 4 2'
_cell_length_a 5.578
_cell_length_b 5.578
_cell_length_c 4.977
_cell_angle_alpha 90.00
_cell_angle_beta 90.00
_cell_angle_gamma 90.00
loop_
_atom_site_label
_atom_site_type_symbol
_atom_site_fract_x
_atom_site_fract_y
_atom_site_fract_z
Li1 Li 0.000 0.000 0.000
La1 La 0.000 0.500 0.500
Zr1 Zr 0.000 0.000 0.500
V1 V 0.500 0.500 0.000

=====

No. 3
# PuNi4Pt2 (PBE, optimized geometry)
# - crystal system = tetragonal
# - total energy (eV per atom) = -6.72
# - density (g cm⁻³) = 10.64
data_PuNi4Pt2
_symmetry_space_group_name_H-M 'I 4/m m m'
_symmetry_Int_Tables_number 139
_symmetry_space_group_name_Hall '-I 4 2'
_cell_length_a 7.158
_cell_length_b 7.158
_cell_length_c 5.295
_cell_angle_alpha 90.00
_cell_angle_beta 90.00
_cell_angle_gamma 90.00
loop_
_atom_site_label
_atom_site_type_symbol
_atom_site_fract_x
_atom_site_fract_y
_atom_site_fract_z
Pu1 Pu 0.000 0.000 0.000
Ni1 Ni 0.000 0.216 0.500
Pt1 Pt 0.000 0.500 0.250

=====

No. 4
# EuHoGa2 (PBE, optimized geometry)
# - crystal system = trigonal
# - total energy (eV per atom) = -5.54
# - density (g cm⁻³) = 7.13
data_EuHoGa2
_symmetry_space_group_name_H-M 'R -3 m'
_symmetry_Int_Tables_number 166
_symmetry_space_group_name_Hall '-R 3 2"'
_cell_length_a 3.6803
_cell_length_b 3.6803
_cell_length_c 27.1995
_cell_angle_alpha 90.00
_cell_angle_beta 90.00
_cell_angle_gamma 120.00
loop_
_atom_site_label
_atom_site_type_symbol
_atom_site_fract_x
_atom_site_fract_y
_atom_site_fract_z
Eu1 Eu 0.0000 0.0000 0.0000
Ho1 Ho 0.0000 0.0000 0.5000
Ga1 Ga 0.0000 0.0000 0.2464